# NdTl3I6

An optimized crystal structure of NdTl3I6 (PBE, Alexandria). Values from VASP.

As for the space-group type: P2_1/c (14). The formation energy (no corrections) comes out at -0.9621 eV/atom.

Structure (Quantum ESPRESSO input):
```
&SYSTEM
  ibrav = 0, nat = 20, ntyp = 3
/
ATOMIC_SPECIES
Nd 144.24 Nd.upf
Tl 204.38 Tl.upf
I 126.90 I.upf
CELL_PARAMETERS angstrom
8.298 0.000 0.000
0.000 9.234 0.000
-7.399 0.000 12.083
ATOMIC_POSITIONS crystal
Nd 0.000 0.000 0.000
Nd 0.000 0.500 0.500
Tl 0.311 0.093 0.777
Tl 0.311 0.407 0.277
Tl 0.500 0.000 0.500
Tl 0.500 0.500 0.000
Tl 0.689 0.593 0.723
Tl 0.689 0.907 0.223
I 0.089 0.063 0.240
I 0.089 0.437 0.740
I 0.242 0.714 0.083
I 0.242 0.786 0.583
I 0.363 0.170 0.050
I 0.363 0.330 0.550
I 0.637 0.670 0.450
I 0.637 0.830 0.950
I 0.758 0.214 0.417
I 0.758 0.286 0.917
I 0.911 0.563 0.260
I 0.911 0.937 0.760
```

=====

# Tb5GeTe5

An optimized crystal structure of Tb5GeTe5 (PBE, Alexandria). Values from VASP.

As for the space-group type: C2/m (12). The formation energy (no corrections) comes out at -1.3517 eV/atom.

Structure (Quantum ESPRESSO input):
```
&SYSTEM
  ibrav = 0, nat = 11, ntyp = 3
/
ATOMIC_SPECIES
Tb 158.93 Tb.upf
Ge 72.64 Ge.upf
Te 127.60 Te.upf
CELL_PARAMETERS angstrom
6.872 -3.067 0.000
6.872 3.067 0.000
-2.762 0.000 8.189
ATOMIC_POSITIONS crystal
Tb 0.000 0.000 0.000
Tb 0.343 0.343 0.160
Tb 0.344 0.344 0.682
Tb 0.656 0.656 0.318
Tb 0.657 0.657 0.840
Ge 0.500 0.500 0.000
Te 0.164 0.164 0.826
Te 0.171 0.171 0.336
Te 0.500 0.500 0.500
Te 0.829 0.829 0.664
Te 0.836 0.836 0.174
```

=====

# CuTe2Br

An optimized crystal structure of CuTe2Br (PBE, Alexandria). Values from VASP.

As for the space-group type: F-43m (216). The formation energy (no corrections) comes out at 0.4553 eV/atom.

Structure (Quantum ESPRESSO input):
```
&SYSTEM
  ibrav = 0, nat = 4, ntyp = 3
/
ATOMIC_SPECIES
Cu 63.55 Cu.upf
Te 127.60 Te.upf
Br 79.90 Br.upf
CELL_PARAMETERS angstrom
0.000 3.662 3.662
3.662 0.000 3.662
3.662 3.662 0.000
ATOMIC_POSITIONS crystal
Cu 0.000 0.000 0.000
Te 0.250 0.250 0.250
Te 0.500 0.500 0.500
Br 0.750 0.750 0.750
```

=====

# ScPCl

An optimized crystal structure of ScPCl (PBE, Alexandria). Values from VASP.

For the relative energy among the computed polymorphs, the calculation gives 607 meV/atom. As for the space-group type: F-43m (216). The formation energy (no corrections) comes out at -0.7678 eV/atom.

Structure (Quantum ESPRESSO input):
```
&SYSTEM
  ibrav = 0, nat = 3, ntyp = 3
/
ATOMIC_SPECIES
Sc 44.96 Sc.upf
P 30.97 P.upf
Cl 35.45 Cl.upf
CELL_PARAMETERS angstrom
0.000 3.175 3.175
3.175 0.000 3.175
3.175 3.175 0.000
ATOMIC_POSITIONS crystal
Sc 0.000 0.000 0.000
P 0.250 0.250 0.250
Cl 0.750 0.750 0.750
```

=====

# AcNdDyTl

An optimized crystal structure of AcNdDyTl (PBE, Alexandria). Values from VASP.

The energy of formation is 0.018 eV/atom. As for the space-group type: F-43m (216).

Structure (Quantum ESPRESSO input):
```
&SYSTEM
  ibrav = 0, nat = 4, ntyp = 4
/
ATOMIC_SPECIES
Ac 227.00 Ac.upf
Nd 144.24 Nd.upf
Dy 162.50 Dy.upf
Tl 204.38 Tl.upf
CELL_PARAMETERS angstrom
0.000 4.015 4.015
4.015 0.000 4.015
4.015 4.015 0.000
ATOMIC_POSITIONS crystal
Ac 0.000 0.000 0.000
Nd 0.250 0.250 0.250
Dy 0.750 0.750 0.750
Tl 0.500 0.500 0.500
```

=====

# NaAgSn2S4

An optimized crystal structure of NaAgSn2S4 (PBE, Alexandria). Values from VASP.

As for the space-group type: Fmm2 (42). The formation energy (no corrections) comes out at -0.4564 eV/atom.

Structure (Quantum ESPRESSO input):
```
&SYSTEM
  ibrav = 0, nat = 8, ntyp = 4
/
ATOMIC_SPECIES
Na 22.99 Na.upf
Ag 107.87 Ag.upf
Sn 118.71 Sn.upf
S 32.06 S.upf
CELL_PARAMETERS angstrom
0.000 4.817 5.560
3.927 0.000 5.560
3.927 4.817 0.000
ATOMIC_POSITIONS crystal
Na 0.000 0.000 0.000
Ag 0.512 0.512 0.488
Sn 0.251 0.251 0.249
Sn 0.751 0.751 0.749
S 0.163 0.636 0.364
S 0.428 0.915 0.572
S 0.636 0.163 0.837
S 0.915 0.428 0.085
```

=====

# MgSi

An optimized crystal structure of MgSi (PBE, Alexandria). Values from VASP.

As for the space-group type: P-1 (2). The formation energy (no corrections) comes out at 0.0421 eV/atom.

Structure (Quantum ESPRESSO input):
```
&SYSTEM
  ibrav = 0, nat = 24, ntyp = 2
/
ATOMIC_SPECIES
Mg 24.30 Mg.upf
Si 28.09 Si.upf
CELL_PARAMETERS angstrom
5.354 0.000 0.000
1.416 6.111 0.000
0.301 2.626 13.964
ATOMIC_POSITIONS crystal
Mg 0.074 0.403 0.269
Mg 0.131 0.900 0.262
Mg 0.235 0.672 0.078
Mg 0.288 0.168 0.055
Mg 0.351 0.286 0.621
Mg 0.353 0.816 0.579
Mg 0.647 0.184 0.421
Mg 0.649 0.714 0.379
Mg 0.712 0.832 0.945
Mg 0.765 0.328 0.922
Mg 0.869 0.100 0.738
Mg 0.926 0.597 0.731
Si 0.134 0.222 0.457
Si 0.179 0.614 0.432
Si 0.187 0.952 0.901
Si 0.190 0.533 0.904
Si 0.447 0.904 0.762
Si 0.452 0.502 0.764
Si 0.548 0.498 0.236
Si 0.553 0.096 0.238
Si 0.810 0.467 0.096
Si 0.813 0.048 0.099
Si 0.821 0.386 0.568
Si 0.866 0.778 0.543
```

=====

# SnSbC2N

An optimized crystal structure of SnSbC2N (PBE, Alexandria). Values from VASP.

As for the space-group type: P4/mmm (123). The formation energy (no corrections) comes out at 2.9650 eV/atom.

Structure (Quantum ESPRESSO input):
```
&SYSTEM
  ibrav = 0, nat = 5, ntyp = 4
/
ATOMIC_SPECIES
Sn 118.71 Sn.upf
Sb 121.76 Sb.upf
C 12.01 C.upf
N 14.01 N.upf
CELL_PARAMETERS angstrom
4.107 0.000 0.000
0.000 4.107 0.000
0.000 0.000 6.303
ATOMIC_POSITIONS crystal
Sn 0.000 0.000 0.000
Sb 0.000 0.000 0.500
C 0.000 0.500 0.000
C 0.500 0.000 0.000
N 0.500 0.500 0.500
```

=====

# Pr2DyTmAs4

An optimized crystal structure of Pr2DyTmAs4 (PBE, Alexandria). Values from VASP.

The energy of formation is -1.499 eV/atom. As for the space-group type: P2/m (10).

Structure (Quantum ESPRESSO input):
```
&SYSTEM
  ibrav = 0, nat = 8, ntyp = 4
/
ATOMIC_SPECIES
Pr 140.91 Pr.upf
Dy 162.50 Dy.upf
Tm 168.93 Tm.upf
As 74.92 As.upf
CELL_PARAMETERS angstrom
7.270 0.000 0.000
0.000 4.205 0.000
-2.428 0.000 6.861
ATOMIC_POSITIONS crystal
Pr 0.000 0.000 0.000
Pr 0.000 0.500 0.500
Dy 0.500 0.000 0.500
Tm 0.500 0.500 0.000
As 0.263 0.500 0.253
As 0.264 0.000 0.756
As 0.736 0.000 0.244
As 0.737 0.500 0.747
```

=====

# LiIOF2

An optimized crystal structure of LiIOF2 (PBE, Alexandria). Values from VASP.

For the relative energy among the computed polymorphs, the calculation gives 42 meV/atom. As for the space-group type: P4/mmm (123). The formation energy (no corrections) comes out at -0.9394 eV/atom.

Structure (Quantum ESPRESSO input):
```
&SYSTEM
  ibrav = 0, nat = 5, ntyp = 4
/
ATOMIC_SPECIES
Li 6.94 Li.upf
I 126.90 I.upf
O 16.00 O.upf
F 19.00 F.upf
CELL_PARAMETERS angstrom
4.919 0.000 0.000
0.000 4.919 0.000
0.000 0.000 4.061
ATOMIC_POSITIONS crystal
Li 0.000 0.000 0.000
I 0.500 0.500 0.500
O 0.500 0.500 0.000
F 0.000 0.500 0.500
F 0.500 0.000 0.500
```

=====

# TmTcW

An optimized crystal structure of TmTcW (PBE, Alexandria). Values from VASP.

The energy of formation is -0.110 eV/atom. For the relative energy among the computed polymorphs, the calculation gives 0 meV/atom. As for the space-group type: Imma (74).

Structure (Quantum ESPRESSO input):
```
&SYSTEM
  ibrav = 0, nat = 6, ntyp = 3
/
ATOMIC_SPECIES
Tm 168.93 Tm.upf
Tc 98.00 Tc.upf
W 183.84 W.upf
CELL_PARAMETERS angstrom
-2.725 2.743 3.801
2.725 -2.743 3.801
2.725 2.743 -3.801
ATOMIC_POSITIONS crystal
Tm 0.377 0.127 0.250
Tm 0.623 0.873 0.750
Tc 0.000 0.500 0.500
Tc 0.500 0.500 0.000
W 0.000 0.000 0.500
W 0.000 0.500 0.000
```

=====

# MgRe

An optimized crystal structure of MgRe (PBE, Alexandria). Values from VASP.

The energy of formation is 0.334 eV/atom. For the relative energy among the computed polymorphs, the calculation gives 267 meV/atom. As for the space-group type: Cm (8).

Structure (Quantum ESPRESSO input):
```
&SYSTEM
  ibrav = 0, nat = 6, ntyp = 2
/
ATOMIC_SPECIES
Mg 24.30 Mg.upf
Re 186.21 Re.upf
CELL_PARAMETERS angstrom
5.054 -1.591 0.000
5.054 1.591 0.000
-2.215 0.000 6.277
ATOMIC_POSITIONS crystal
Mg 0.000 0.000 0.000
Mg 0.018 0.018 0.493
Mg 0.333 0.333 0.650
Re 0.311 0.311 0.155
Re 0.679 0.679 0.313
Re 0.686 0.686 0.853
```

=====

What is the formula in the seventh record? MgSi

=====

Which formula does entry 9 have? Pr2DyTmAs4